The following is a PBE-GGA calculation of a relaxed CsK2AlHg crystal, from Alexandria via LeMat-Bulk.

a b c (Å): 6.8435 6.8435 5.4125
angles (deg): 90.00 90.00 90.00
Last column: nearest neighbours and their distance in Å.
Atoms (fractional coordinates):
Hg: 0.0000 0.0000 0.5000  2 Al 2.71
Cs: 0.5000 0.5000 0.5000  8 K 4.36, 4 Hg 4.84
Al: 0.0000 0.0000 0.0000  2 Hg 2.71
K: 0.0000 0.5000 0.0000  2 Al 3.42
K: 0.5000 0.0000 0.0000  2 Al 3.42

Output
- space group = P4/mmm, No. 123
- calculated total energy (eV for the cell shown) = -6.57
- size of the total moment (μB/f.u.) = 0.0
- formation enthalpy at 0 K (eV per formula unit) = 0.52
- D(E_F) (states/eV per cell) = 2.928

---

The following is a PBE-GGA calculation of a relaxed CsLiAl2Hg crystal, from Alexandria via LeMat-Bulk.

a b c (Å): 5.1537 5.4992 5.1537
angles (deg): 90.00 90.00 90.00
Last column: nearest neighbours and their distance in Å.
Atoms (fractional coordinates):
Cs: 0.5000 0.5000 0.5000  4 Hg 3.64, 8 Al 3.77
Al: 0.0000 0.0000 0.5000  2 Li 2.58
Al: 0.5000 0.0000 0.0000  2 Li 2.58
Hg: 0.0000 0.5000 0.0000  2 Li 2.75
Li: 0.0000 0.0000 0.0000  4 Al 2.58, 2 Hg 2.75

Output
- space group = P4/mmm, No. 123
- calculated total energy (eV for the cell shown) = -8.90
- size of the total moment (μB/f.u.) = 0.0
- formation enthalpy at 0 K (eV per formula unit) = 1.66
- D(E_F) (states/eV per cell) = 2.318

---

The following is a PBE-GGA calculation of a relaxed CsNa2AlHg crystal, from Alexandria via LeMat-Bulk.

a b c (Å): 5.9863 5.9863 5.3239
angles (deg): 90.00 90.00 90.00
Last column: nearest neighbours and their distance in Å.
Atoms (fractional coordinates):
Cs: 0.5000 0.5000 0.5000  8 Na 4.01, 4 Al 4.23
Na: 0.0000 0.5000 0.0000  2 Hg 2.99
Na: 0.5000 0.0000 0.0000  2 Hg 2.99
Hg: 0.0000 0.0000 0.0000  2 Al 2.66
Al: 0.0000 0.0000 0.5000  2 Hg 2.66

Output
- space group = P4/mmm, No. 123
- ΔE to the lowest computed polymorph (eV/f.u.) = 0.074
- calculated total energy (eV for the cell shown) = -7.28
- size of the total moment (μB/f.u.) = 0.0
- formation enthalpy at 0 K (eV per formula unit) = 0.26
- D(E_F) (states/eV per cell) = 1.099

---

The following is a PBE-GGA calculation of a relaxed CsNa2AlHg crystal, from Alexandria via LeMat-Bulk.

a b c (Å): 6.0087 6.0087 5.4331
angles (deg): 90.00 90.00 90.00
Last column: nearest neighbours and their distance in Å.
Atoms (fractional coordinates):
Na: 0.0000 0.5000 0.0000  2 Al 3.00
Na: 0.5000 0.0000 0.0000  2 Al 3.00
Al: 0.0000 0.0000 0.0000  2 Hg 2.72, 4 Na 3.00
Cs: 0.5000 0.5000 0.5000  8 Na 4.05, 4 Hg 4.25
Hg: 0.0000 0.0000 0.5000  2 Al 2.72

Output
- space group = P4/mmm, No. 123
- ΔE to the lowest computed polymorph (eV/f.u.) = 0.000
- calculated total energy (eV for the cell shown) = -7.35
- size of the total moment (μB/f.u.) = 0.0
- formation enthalpy at 0 K (eV per formula unit) = 0.19
- D(E_F) (states/eV per cell) = 1.431

---

The following is a PBE-GGA calculation of a relaxed CsNaAlHg2 crystal, from Alexandria via LeMat-Bulk.

a b c (Å): 5.4284 5.4284 5.9422
angles (deg): 90.00 90.00 90.00
Last column: nearest neighbours and their distance in Å.
Atoms (fractional coordinates):
Cs: 0.5000 0.5000 0.5000  4 Na 3.84, 8 Hg 4.02
Al: 0.0000 0.0000 0.0000  4 Hg 2.71, 2 Na 2.97
Na: 0.0000 0.0000 0.5000  2 Al 2.97
Hg: 0.5000 0.0000 0.0000  2 Al 2.71
Hg: 0.0000 0.5000 0.0000  2 Al 2.71

Output
- space group = P4/mmm, No. 123
- calculated total energy (eV for the cell shown) = -6.86
- size of the total moment (μB/f.u.) = 0.0
- formation enthalpy at 0 K (eV per formula unit) = -0.34
- D(E_F) (states/eV per cell) = 1.119

---

The following is a PBE-GGA calculation of a relaxed CsNbAl2Hg crystal, from Alexandria via LeMat-Bulk.

a b c (Å): 5.9203 5.4812 5.9203
angles (deg): 90.00 90.00 90.00
Last column: nearest neighbours and their distance in Å.
Atoms (fractional coordinates):
Hg: 0.5000 0.5000 0.5000  8 Al 4.03, 4 Nb 4.19
Nb: 0.0000 0.5000 0.0000  2 Cs 2.74
Al: 0.5000 0.0000 0.0000  2 Cs 2.96
Cs: 0.0000 0.0000 0.0000  2 Nb 2.74, 4 Al 2.96
Al: 0.0000 0.0000 0.5000  2 Cs 2.96

Output
- space group = P4/mmm, No. 123
- calculated total energy (eV for the cell shown) = -7.93
- size of the total moment (μB/f.u.) = 3.2
- formation enthalpy at 0 K (eV per formula unit) = 10.78
- D(E_F) (states/eV per cell) = 4.853